Entry 1:
Below is an optimized crystal structure of Y3Sn2Pd, with properties calculated at the PBE level.

Structure (CIF):
```
data_Y3Sn2Pd
_chemical_formula_sum 'Y12 Sn8 Pd4'
_cell_length_a 4.536
_cell_length_b 11.544
_cell_length_c 12.146
_cell_angle_alpha 90.00
_cell_angle_beta 90.00
_cell_angle_gamma 90.00
_symmetry_space_group_name_H-M 'P 1'
_symmetry_Int_Tables_number 1
_symmetry_space_group_name_Hall 'P 1'
loop_
_atom_site_label
_atom_site_type_symbol
_atom_site_fract_x
_atom_site_fract_y
_atom_site_fract_z
_atom_site_occupancy
Y1 Y 0.250 0.371 0.051 1
Y2 Y 0.750 0.301 0.771 1
Y3 Y 0.250 0.801 0.729 1
Y4 Y 0.750 0.559 0.625 1
Y5 Y 0.750 0.871 0.449 1
Y6 Y 0.750 0.199 0.271 1
Y7 Y 0.250 0.059 0.875 1
Y8 Y 0.250 0.699 0.229 1
Y9 Y 0.250 0.129 0.551 1
Y10 Y 0.250 0.441 0.375 1
Y11 Y 0.750 0.941 0.125 1
Y12 Y 0.750 0.629 0.949 1
Pd1 Pd 0.750 0.874 0.876 1
Pd2 Pd 0.250 0.374 0.624 1
Pd3 Pd 0.250 0.126 0.124 1
Pd4 Pd 0.750 0.626 0.376 1
Sn1 Sn 0.250 0.507 0.814 1
Sn2 Sn 0.750 0.189 0.004 1
Sn3 Sn 0.750 0.493 0.186 1
Sn4 Sn 0.250 0.689 0.496 1
Sn5 Sn 0.750 0.007 0.686 1
Sn6 Sn 0.750 0.311 0.504 1
Sn7 Sn 0.250 0.993 0.314 1
Sn8 Sn 0.250 0.811 0.996 1
```

Properties
Electronic total energy, eV per atom: -6.26
Formation enthalpy at 0 K, eV per atom: -0.832
Symmetry: Pnma, No. 62

***

Entry 2:
Below is an optimized crystal structure of YSn2Pd, with properties calculated at the PBE level.

Structure (CIF):
```
data_YSn2Pd
_chemical_formula_sum 'Y4 Sn8 Pd4'
_cell_length_a 4.545
_cell_length_b 9.510
_cell_length_c 10.287
_cell_angle_alpha 117.53
_cell_angle_beta 102.76
_cell_angle_gamma 90.00
_symmetry_space_group_name_H-M 'P 1'
_symmetry_Int_Tables_number 1
_symmetry_space_group_name_Hall 'P 1'
loop_
_atom_site_label
_atom_site_type_symbol
_atom_site_fract_x
_atom_site_fract_y
_atom_site_fract_z
_atom_site_occupancy
Pd1 Pd 0.854 0.600 0.709 1
Pd2 Pd 0.854 0.109 0.709 1
Pd3 Pd 0.146 0.891 0.291 1
Pd4 Pd 0.146 0.400 0.291 1
Sn1 Sn 0.922 0.422 0.845 1
Sn2 Sn 0.300 0.958 0.601 1
Sn3 Sn 0.700 0.042 0.399 1
Sn4 Sn 0.080 0.080 0.161 1
Sn5 Sn 0.920 0.920 0.839 1
Sn6 Sn 0.078 0.578 0.155 1
Sn7 Sn 0.300 0.643 0.601 1
Sn8 Sn 0.700 0.357 0.399 1
Y1 Y 0.500 0.269 0.000 1
Y2 Y 0.500 0.731 0.000 1
Y3 Y 0.701 0.701 0.402 1
Y4 Y 0.299 0.299 0.598 1
```

Properties
Electronic total energy, eV per atom: -5.60
Formation enthalpy at 0 K, eV per atom: -0.683
Symmetry: Immm, No. 71

***

Entry 3:
Below is an optimized crystal structure of YSn2Pd, with properties calculated at the PBE level.

Structure (CIF):
```
data_YSn2Pd
_chemical_formula_sum 'Y1 Sn2 Pd1'
_cell_length_a 4.414
_cell_length_b 4.509
_cell_length_c 4.509
_cell_angle_alpha 90.00
_cell_angle_beta 90.00
_cell_angle_gamma 90.00
_symmetry_space_group_name_H-M 'P 1'
_symmetry_Int_Tables_number 1
_symmetry_space_group_name_Hall 'P 1'
loop_
_atom_site_label
_atom_site_type_symbol
_atom_site_fract_x
_atom_site_fract_y
_atom_site_fract_z
_atom_site_occupancy
Pd1 Pd 0.500 0.000 0.000 1
Sn1 Sn 0.000 0.500 0.000 1
Sn2 Sn 0.000 0.000 0.500 1
Y1 Y 0.500 0.500 0.500 1
```

Properties
Electronic total energy, eV per atom: -5.52
Formation enthalpy at 0 K, eV per atom: -0.607
Symmetry: P4/mmm, No. 123

***

Entry 4:
Below is an optimized crystal structure of YSn2Pd5, with properties calculated at the PBE level.

Structure (CIF):
```
data_YSn2Pd5
_chemical_formula_sum 'Y1 Sn2 Pd5'
_cell_length_a 4.236
_cell_length_b 7.315
_cell_length_c 7.315
_cell_angle_alpha 46.29
_cell_angle_beta 73.17
_cell_angle_gamma 73.17
_symmetry_space_group_name_H-M 'P 1'
_symmetry_Int_Tables_number 1
_symmetry_space_group_name_Hall 'P 1'
loop_
_atom_site_label
_atom_site_type_symbol
_atom_site_fract_x
_atom_site_fract_y
_atom_site_fract_z
_atom_site_occupancy
Sn1 Sn 0.787 0.713 0.713 1
Sn2 Sn 0.213 0.287 0.287 1
Pd1 Pd 0.386 0.856 0.372 1
Pd2 Pd 0.000 0.500 0.500 1
Pd3 Pd 0.614 0.628 0.144 1
Pd4 Pd 0.614 0.144 0.628 1
Pd5 Pd 0.386 0.372 0.856 1
Y1 Y 0.000 0.000 0.000 1
```

Properties
Electronic total energy, eV per atom: -5.71
Formation enthalpy at 0 K, eV per atom: -0.655
Symmetry: Immm, No. 71

***

Entry 5:
Below is an optimized crystal structure of Y2SnPd, with properties calculated at the PBE level.

Structure (CIF):
```
data_Y2SnPd
_chemical_formula_sum 'Y4 Sn2 Pd2'
_cell_length_a 4.427
_cell_length_b 6.103
_cell_length_c 8.061
_cell_angle_alpha 110.84
_cell_angle_beta 90.00
_cell_angle_gamma 90.00
_symmetry_space_group_name_H-M 'P 1'
_symmetry_Int_Tables_number 1
_symmetry_space_group_name_Hall 'P 1'
loop_
_atom_site_label
_atom_site_type_symbol
_atom_site_fract_x
_atom_site_fract_y
_atom_site_fract_z
_atom_site_occupancy
Y1 Y 0.750 0.207 0.444 1
Y2 Y 0.750 0.227 0.908 1
Y3 Y 0.250 0.773 0.092 1
Y4 Y 0.250 0.793 0.556 1
Pd1 Pd 0.250 0.344 0.706 1
Pd2 Pd 0.750 0.656 0.294 1
Sn1 Sn 0.750 0.676 0.792 1
Sn2 Sn 0.250 0.324 0.208 1
```

Properties
Electronic total energy, eV per atom: -6.37
Formation enthalpy at 0 K, eV per atom: -0.839
Symmetry: P2_1/m, No. 11

***

Entry 6:
Below is an optimized crystal structure of YSnPd4, with properties calculated at the PBE level.

Structure (CIF):
```
data_YSnPd4
_chemical_formula_sum 'Y1 Sn1 Pd4'
_cell_length_a 3.644
_cell_length_b 5.173
_cell_length_c 6.912
_cell_angle_alpha 104.45
_cell_angle_beta 74.72
_cell_angle_gamma 69.38
_symmetry_space_group_name_H-M 'P 1'
_symmetry_Int_Tables_number 1
_symmetry_space_group_name_Hall 'P 1'
loop_
_atom_site_label
_atom_site_type_symbol
_atom_site_fract_x
_atom_site_fract_y
_atom_site_fract_z
_atom_site_occupancy
Pd1 Pd 0.351 0.978 0.320 1
Pd2 Pd 0.649 0.022 0.680 1
Pd3 Pd 0.812 0.530 0.846 1
Pd4 Pd 0.188 0.470 0.154 1
Y1 Y 0.500 0.500 0.500 1
Sn1 Sn 0.000 0.000 0.000 1
```

Properties
Electronic total energy, eV per atom: -5.87
Excess energy over the best structure of this formula in the dataset, eV/atom: 0.037
Formation enthalpy at 0 K, eV per atom: -0.667
Symmetry: C2/m, No. 12

***

D(E_F): 15.9; 5.8; 2.4; 3.3; 2.4; 2.6 (states/eV/cell)
Volume: 26.50; 23.86; 22.44; 19.44; 25.45; 18.14 (Å³/atom)
Spin magnetization: 0.00; 0.00; 0.00; 0.00; 0.00; 0.00 (μB per formula unit)